[1]
Below is a geometry-optimized Mg2ZrReAu structure, with properties calculated at the PBE level.

It has space group P4/mmm (No. 123), with a = 4.876 Å, b = 4.876 Å, c = 4.980 Å, α = 90.00°, β = 90.00° and γ = 90.00°. The inequivalent atoms are Mg at (0.000, 0.500, 0.000), Zr at (0.000, 0.000, 0.500), Re at (0.500, 0.500, 0.000) and Au at (0.500, 0.500, 0.500).

The formation enthalpy at 0 K comes out at 5.1 eV per formula unit.

[2]
Below is a geometry-optimized KCd2BiBr8 structure, with properties calculated at the PBE level.

It has space group P-1 (No. 2), with a = 6.629 Å, b = 7.021 Å, c = 8.764 Å, α = 89.60°, β = 89.45° and γ = 89.36°. The inequivalent atoms are K at (0.000, 0.000, 0.000), Cd at (0.497, 0.498, 0.244), Bi at (0.000, 0.000, 0.500), Br at (0.257, 0.830, 0.727), Br at (0.260, 0.833, 0.272), Br at (0.263, 0.343, 0.500) and Br at (0.269, 0.373, 0.000).

The formation energy (no corrections) comes out at -10.84 eV per formula unit.

[3]
Below is a geometry-optimized Mn2ZnAg structure, with properties calculated at the PBE level.

It has space group Cm (No. 8), with a = 9.163 Å, b = 2.830 Å, c = 4.785 Å, α = 90.00°, β = 101.75° and γ = 90.00°. The inequivalent atoms are Mn at (0.000, 0.000, 0.000), Mn at (0.246, 0.500, 0.251), Zn at (0.491, 0.000, 0.479) and Ag at (0.243, 0.000, 0.747).

The formation enthalpy at 0 K comes out at 1.0 eV per formula unit.

[4]
Below is a geometry-optimized MgPtRh2 structure, with properties calculated at the PBE level.

It has space group Imma (No. 74), with a = 5.601 Å, b = 7.623 Å, c = 5.572 Å, α = 90.00°, β = 90.00° and γ = 90.00°. The inequivalent atoms are Mg at (0.250, 0.250, 0.250), Pt at (0.000, 0.000, 0.000), Rh at (0.000, 0.000, 0.500) and Rh at (0.250, 0.250, 0.750).

The formation enthalpy at 0 K comes out at -1.6 eV per formula unit.

[5]
Below is a geometry-optimized BaZn2Cl structure, with properties calculated at the PBE level.

It has space group C2/m (No. 12), with a = 6.087 Å, b = 12.762 Å, c = 4.302 Å, α = 90.00°, β = 134.53° and γ = 90.00°. The inequivalent atoms are Ba at (0.000, 0.000, 0.000), Zn at (0.250, 0.250, 0.500) and Cl at (0.000, 0.500, 0.000).

The formation energy (no corrections) comes out at -2.65 eV per formula unit.

[6]
Below is a geometry-optimized SmTmGa2 structure, with properties calculated at the PBE level.

It has space group Pm (No. 6), with a = 4.375 Å, b = 4.067 Å, c = 5.893 Å, α = 90.00°, β = 111.76° and γ = 90.00°. The inequivalent atoms are Sm at (0.000, 0.000, 0.000), Tm at (0.723, 0.500, 0.444), Ga at (0.283, 0.000, 0.563) and Ga at (0.433, 0.500, 0.867).

The formation enthalpy at 0 K comes out at -2.4 eV per formula unit.

[7]
Below is a geometry-optimized NaAsCl3 structure, with properties calculated at the PBE level.

It has space group Pm-3m (No. 221), with a = 5.169 Å, b = 5.169 Å, c = 5.169 Å, α = 90.00°, β = 90.00° and γ = 90.00°. The inequivalent atoms are Na at (0.000, 0.000, 0.000), As at (0.500, 0.500, 0.500) and Cl at (0.000, 0.500, 0.500).

The formation energy (no corrections) comes out at -3.86 eV per formula unit.

[8]
Below is a geometry-optimized In2GeW structure, with properties calculated at the PBE level.

It has space group I4_1/amd (No. 141, origin choice 2), with a = 10.518 Å, b = 10.518 Å, c = 4.918 Å, α = 90.00°, β = 90.00° and γ = 90.00°. The inequivalent atoms are In at (0.000, 0.000, 0.000), Ge at (0.000, 0.250, 0.375) and W at (0.000, 0.250, 0.875).

The formation enthalpy at 0 K comes out at 2.8 eV per formula unit.

[9]
Below is a geometry-optimized SrNdCd4 structure, with properties calculated at the PBE level.

It has space group F-43m (No. 216), with a = 8.623 Å, b = 8.623 Å, c = 8.623 Å, α = 90.00°, β = 90.00° and γ = 90.00°. The inequivalent atoms are Sr at (0.000, 0.000, 0.000), Nd at (0.250, 0.250, 0.750) and Cd at (0.124, 0.124, 0.376).

The formation enthalpy at 0 K comes out at -1.7 eV per formula unit.

[10]
Below is a geometry-optimized Ho6HRh2 structure, with properties calculated at the PBE level.

It has space group P2_1/c (No. 14), with a = 6.257 Å, b = 7.098 Å, c = 11.245 Å, α = 90.00°, β = 122.78° and γ = 90.00°. The inequivalent atoms are Ho at (0.108, 0.176, 0.437), Ho at (0.267, 0.675, 0.436), Ho at (0.389, 0.034, 0.250), H at (0.000, 0.000, 0.000) and Rh at (0.182, 0.119, 0.742).

As for the total energy: -5.624 eV/atom.

[11]
Below is a geometry-optimized Ti6VPd12 structure, with properties calculated at the PBE level.

It has space group R-3 (No. 148, hexagonal axes), with a = 9.4753 Å, b = 9.4753 Å, c = 11.5957 Å, α = 90.00°, β = 90.00° and γ = 120.00°. The inequivalent atoms are Ti at (0.0223, 0.5934, 0.2164), V at (0.0000, 0.0000, 0.5000), Pd at (0.0325, 0.8480, 0.3222) and Pd at (0.0551, 0.2063, 0.9083).

The formation enthalpy at 0 K comes out at -8.1 eV per formula unit.

[12]
Below is a geometry-optimized ZrTiHg2Ir structure, with properties calculated at the PBE level.

It has space group P4/mmm (No. 123), with a = 5.085 Å, b = 5.085 Å, c = 4.497 Å, α = 90.00°, β = 90.00° and γ = 90.00°. The inequivalent atoms are Zr at (0.000, 0.000, 0.000), Ti at (0.500, 0.500, 0.500), Hg at (0.000, 0.500, 0.500) and Ir at (0.500, 0.500, 0.000).

The formation enthalpy at 0 K comes out at 3.4 eV per formula unit.

What did we get for density? Answer: 7.34 4.53 7.74 11.87 4.23 7.82 2.46 5.93 7.06 9.46 8.92 10.46 g/cm3, in the order shown.